Record 1
Below is an optimized crystal structure of K2SrTlF6, with properties calculated at the PBE-GGA level.

It has space group Fm-3m (No. 225), with a = 9.4992 Å, b = 9.4992 Å, c = 9.4992 Å, α = 90.00°, β = 90.00° and γ = 90.00°. The distinct sites, in fractional coordinates, are K at (0.2500, 0.2500, 0.2500), Sr at (0.0000, 0.0000, 0.0000), Tl at (0.0000, 0.0000, 0.5000) and F at (0.0000, 0.0000, 0.2497).

The value obtained for the uncorrected formation energy is -2.70 eV/atom. The calculation puts the electronic total energy at -4.45 eV/atom.

=====

Record 2
Below is an optimized crystal structure of KSr2TlF, with properties calculated at the PBE-GGA level.

It has space group P4/mmm (No. 123), with a = 5.4750 Å, b = 5.4750 Å, c = 5.2395 Å, α = 90.00°, β = 90.00° and γ = 90.00°. The distinct sites, in fractional coordinates, are K at (0.0000, 0.0000, 0.0000), Sr at (0.0000, 0.5000, 0.5000), Tl at (0.5000, 0.5000, 0.0000) and F at (0.0000, 0.0000, 0.5000).

The value obtained for the uncorrected formation energy is -1.17 eV/atom. The calculation puts the electronic total energy at -2.91 eV/atom.

=====

Record 3
Below is an optimized crystal structure of KSrTmF6, with properties calculated at the PBE-GGA level.

It has space group P-31c (No. 163), with a = 6.3284 Å, b = 6.3284 Å, c = 10.0986 Å, α = 90.00°, β = 90.00° and γ = 120.00°. The distinct sites, in fractional coordinates, are K at (0.0000, 0.0000, 0.0000), Sr at (0.3333, 0.6667, 0.2500), Tm at (0.3333, 0.6667, 0.7500) and F at (0.0337, 0.3844, 0.6392).

The value obtained for the uncorrected formation energy is -3.76 eV/atom. The calculation puts the electronic total energy at -5.81 eV/atom.

=====

Record 4
Below is an optimized crystal structure of KSrUF6, with properties calculated at the PBE-GGA level.

It has space group P-31c (No. 163), with a = 6.5814 Å, b = 6.5814 Å, c = 9.9140 Å, α = 90.00°, β = 90.00° and γ = 120.00°. The distinct sites, in fractional coordinates, are K at (0.0000, 0.0000, 0.0000), Sr at (0.3333, 0.6667, 0.2500), U at (0.3333, 0.6667, 0.7500) and F at (0.0147, 0.3703, 0.6360).

The value obtained for the uncorrected formation energy is -3.36 eV/atom. The calculation puts the electronic total energy at -6.17 eV/atom.